Below is crystalline Ca2NiIO6 at its relaxed geometry, with properties calculated at the PBE+U level.

- E_tot (eV per formula unit) = -53.9
- density (g cm⁻³) = 4.9
- symmetry = P2_1/c

abc: 5.518 5.697 7.868
angles: 90.00 89.49 90.00
Positions (direct):
Ca  0.015  0.944  0.252
Ca  0.515  0.556  0.752
Ca  0.985  0.056  0.748
Ca  0.485  0.444  0.248
Ni  0.500  0.000  0.000
Ni  0.000  0.500  0.500
I  0.500  0.000  0.500
I  0.000  0.500  0.000
O  0.294  0.698  0.049
O  0.794  0.802  0.549
O  0.706  0.302  0.951
O  0.206  0.198  0.451
O  0.306  0.710  0.446
O  0.806  0.790  0.946
O  0.694  0.290  0.554
O  0.194  0.210  0.054
O  0.901  0.536  0.245
O  0.401  0.964  0.745
O  0.099  0.464  0.755
O  0.599  0.036  0.255